(1)
# Sr2ZrCuS5 (PBE, relaxed)
data_Sr2ZrCuS5
_chemical_formula_sum 'Sr8 Zr4 Cu4 S20'
_cell_length_a 3.859
_cell_length_b 17.355
_cell_length_c 12.150
_cell_angle_alpha 90.00
_cell_angle_beta 90.00
_cell_angle_gamma 90.00
_space_group_name_H-M_alt 'C m c 21'
_space_group_IT_number 36
loop_
_space_group_symop_operation_xyz
'x,y,z'
'-x,-y,z+1/2'
'-x,y,z'
'x,-y,z+1/2'
'x+1/2,y+1/2,z'
'-x+1/2,-y+1/2,z+1/2'
'-x+1/2,y+1/2,z'
'x+1/2,-y+1/2,z+1/2'
loop_
_atom_site_label
_atom_site_fract_x
_atom_site_fract_y
_atom_site_fract_z
Sr1 0.000 0.116 0.000
Sr2 0.000 0.123 0.639
Zr1 0.000 0.199 0.330
Cu1 0.000 0.439 0.750
S1 0.000 0.048 0.346
S2 0.000 0.296 0.974
S3 0.000 0.306 0.683
S4 0.000 0.345 0.322
S5 0.000 0.499 0.586
# Size of the total moment in μB per formula unit: 0.00
# ΔE_f (raw) in eV/atom: -1.4792
# Energy in eV/f.u.: -50.0

---

(2)
# SrZrCu2S4 (PBE, relaxed)
data_SrZrCu2S4
_chemical_formula_sum 'Sr2 Zr2 Cu4 S8'
_cell_length_a 6.219
_cell_length_b 7.277
_cell_length_c 8.007
_cell_angle_alpha 90.00
_cell_angle_beta 90.00
_cell_angle_gamma 90.00
_space_group_name_H-M_alt 'I 2 2 2'
_space_group_IT_number 23
loop_
_space_group_symop_operation_xyz
'x,y,z'
'-x,-y,z'
'x,-y,-z'
'-x,y,-z'
'x+1/2,y+1/2,z+1/2'
'-x+1/2,-y+1/2,z+1/2'
'x+1/2,-y+1/2,-z+1/2'
'-x+1/2,y+1/2,-z+1/2'
loop_
_atom_site_label
_atom_site_fract_x
_atom_site_fract_y
_atom_site_fract_z
Sr1 0.000 0.000 0.000
Zr1 0.000 0.000 0.500
Cu1 0.000 0.500 0.158
S1 0.224 0.188 0.316
# Size of the total moment in μB per formula unit: 0.00
# ΔE_f (raw) in eV/atom: -1.0999
# Energy in eV/f.u.: -43.7

---

(3)
# SrZrCuS4 (PBE, relaxed)
data_SrZrCuS4
_chemical_formula_sum 'Sr2 Zr2 Cu2 S8'
_cell_length_a 6.536
_cell_length_b 5.589
_cell_length_c 8.242
_cell_angle_alpha 90.00
_cell_angle_beta 108.46
_cell_angle_gamma 90.00
_space_group_name_H-M_alt 'P 1 21/m 1'
_space_group_IT_number 11
loop_
_space_group_symop_operation_xyz
'x,y,z'
'-x,-y,-z'
'-x,y+1/2,-z'
'x,-y+1/2,z'
loop_
_atom_site_label
_atom_site_fract_x
_atom_site_fract_y
_atom_site_fract_z
Sr1 0.245 0.250 0.446
Zr1 0.229 0.250 0.938
Cu1 0.250 0.750 0.182
S1 0.055 0.750 0.903
S2 0.058 0.750 0.363
S3 0.477 0.515 0.792
# Size of the total moment in μB per formula unit: 0.00
# ΔE_f (raw) in eV/atom: -1.2324
# Energy in eV/f.u.: -39.5

---

(4)
# Ta2Cu2S7 (PBE, relaxed)
data_Ta2Cu2S7
_chemical_formula_sum 'Ta4 Cu4 S14'
_cell_length_a 3.365
_cell_length_b 14.532
_cell_length_c 7.739
_cell_angle_alpha 90.00
_cell_angle_beta 90.00
_cell_angle_gamma 90.00
_space_group_name_H-M_alt 'I m m 2'
_space_group_IT_number 44
loop_
_space_group_symop_operation_xyz
'x,y,z'
'-x,-y,z'
'-x,y,z'
'x,-y,z'
'x+1/2,y+1/2,z+1/2'
'-x+1/2,-y+1/2,z+1/2'
'-x+1/2,y+1/2,z+1/2'
'x+1/2,-y+1/2,z+1/2'
loop_
_atom_site_label
_atom_site_fract_x
_atom_site_fract_y
_atom_site_fract_z
Ta1 0.000 0.000 0.000
Ta2 0.000 0.500 0.063
Cu1 0.000 0.233 0.290
S1 0.000 0.000 0.337
S2 0.000 0.097 0.729
S3 0.000 0.309 0.976
S4 0.000 0.383 0.565
# Size of the total moment in μB per formula unit: 0.00
# ΔE_f (raw) in eV/atom: -0.4059
# Energy in eV/f.u.: -65.3

---

(5)
# TaCuS (PBE, relaxed)
data_TaCuS
_chemical_formula_sum 'Ta4 Cu4 S4'
_cell_length_a 6.670
_cell_length_b 4.338
_cell_length_c 7.016
_cell_angle_alpha 90.00
_cell_angle_beta 107.08
_cell_angle_gamma 90.00
_space_group_name_H-M_alt 'C 1 2/m 1'
_space_group_IT_number 12
loop_
_space_group_symop_operation_xyz
'x,y,z'
'-x,-y,-z'
'-x,y,-z'
'x,-y,z'
'x+1/2,y+1/2,z'
'-x+1/2,-y+1/2,-z'
'-x+1/2,y+1/2,-z'
'x+1/2,-y+1/2,z'
loop_
_atom_site_label
_atom_site_fract_x
_atom_site_fract_y
_atom_site_fract_z
Ta1 0.211 0.000 0.155
Cu1 0.153 0.500 0.425
S1 0.125 0.000 0.789
# Size of the total moment in μB per formula unit: 0.00
# ΔE_f (raw) in eV/atom: -0.1672
# Energy in eV/f.u.: -20.6

---

(6)
# TaCuS2 (PBE, relaxed)
data_TaCuS2
_chemical_formula_sum 'Ta4 Cu4 S8'
_cell_length_a 6.156
_cell_length_b 6.156
_cell_length_c 6.156
_cell_angle_alpha 90.00
_cell_angle_beta 90.00
_cell_angle_gamma 90.00
_space_group_name_H-M_alt 'F m -3 m'
_space_group_IT_number 225
_space_group_name_Hall '-F 4 2 3'
loop_
_atom_site_label
_atom_site_fract_x
_atom_site_fract_y
_atom_site_fract_z
Ta1 0.000 0.000 0.000
Cu1 0.000 0.000 0.500
S1 0.250 0.250 0.250
# Size of the total moment in μB per formula unit: 0.00
# ΔE_f (raw) in eV/atom: -0.1164
# Energy in eV/f.u.: -24.7
# Energy above the lowest structure with this stoichiometry in eV/atom: 0.653

---

(7)
# TaCuS4 (PBE, relaxed)
data_TaCuS4
_chemical_formula_sum 'Ta2 Cu2 S8'
_cell_length_a 13.605
_cell_length_b 3.407
_cell_length_c 6.614
_cell_angle_alpha 90.00
_cell_angle_beta 113.21
_cell_angle_gamma 90.00
_space_group_name_H-M_alt 'C 1 2/m 1'
_space_group_IT_number 12
loop_
_space_group_symop_operation_xyz
'x,y,z'
'-x,-y,-z'
'-x,y,-z'
'x,-y,z'
'x+1/2,y+1/2,z'
'-x+1/2,-y+1/2,-z'
'-x+1/2,y+1/2,-z'
'x+1/2,-y+1/2,z'
loop_
_atom_site_label
_atom_site_fract_x
_atom_site_fract_y
_atom_site_fract_z
Ta1 0.000 0.000 0.000
Cu1 0.000 0.500 0.500
S1 0.084 0.000 0.419
S2 0.131 0.500 0.028
# Size of the total moment in μB per formula unit: 0.00
# ΔE_f (raw) in eV/atom: -0.4904
# Energy in eV/f.u.: -35.4

---

(8)
# TaCuS2 (PBE, relaxed)
data_TaCuS2
_chemical_formula_sum 'Ta4 Cu4 S8'
_cell_length_a 3.224
_cell_length_b 22.696
_cell_length_c 3.676
_cell_angle_alpha 90.00
_cell_angle_beta 90.00
_cell_angle_gamma 90.00
_space_group_name_H-M_alt 'C m c m'
_space_group_IT_number 63
_space_group_name_Hall '-C 2c 2'
loop_
_atom_site_label
_atom_site_fract_x
_atom_site_fract_y
_atom_site_fract_z
Ta1 0.000 0.174 0.250
Cu1 0.000 0.464 0.250
S1 0.000 0.292 0.250
S2 0.000 0.408 0.750
# Size of the total moment in μB per formula unit: 0.00
# ΔE_f (raw) in eV/atom: -0.4299
# Energy in eV/f.u.: -25.9
# Energy above the lowest structure with this stoichiometry in eV/atom: 0.339

---

(9)
# TaCuS3 (PBE, relaxed)
data_TaCuS3
_chemical_formula_sum 'Ta4 Cu4 S12'
_cell_length_a 14.998
_cell_length_b 3.772
_cell_length_c 6.901
_cell_angle_alpha 90.00
_cell_angle_beta 96.89
_cell_angle_gamma 90.00
_space_group_name_H-M_alt 'C 1 2/m 1'
_space_group_IT_number 12
loop_
_space_group_symop_operation_xyz
'x,y,z'
'-x,-y,-z'
'-x,y,-z'
'x,-y,z'
'x+1/2,y+1/2,z'
'-x+1/2,-y+1/2,-z'
'-x+1/2,y+1/2,-z'
'x+1/2,-y+1/2,z'
loop_
_atom_site_label
_atom_site_fract_x
_atom_site_fract_y
_atom_site_fract_z
Ta1 0.199 0.000 0.242
Cu1 0.027 0.500 0.825
S1 0.046 0.000 0.272
S2 0.166 0.500 0.986
S3 0.206 0.000 0.619
# Size of the total moment in μB per formula unit: 0.00
# ΔE_f (raw) in eV/atom: -0.6022
# Energy in eV/f.u.: -31.3

---

(10)
# TaCuS3 (PBE, relaxed)
data_TaCuS3
_chemical_formula_sum 'Ta2 Cu2 S6'
_cell_length_a 6.049
_cell_length_b 3.473
_cell_length_c 10.554
_cell_angle_alpha 90.00
_cell_angle_beta 90.22
_cell_angle_gamma 90.00
_space_group_name_H-M_alt 'P 1 21/m 1'
_space_group_IT_number 11
loop_
_space_group_symop_operation_xyz
'x,y,z'
'-x,-y,-z'
'-x,y+1/2,-z'
'x,-y+1/2,z'
loop_
_atom_site_label
_atom_site_fract_x
_atom_site_fract_y
_atom_site_fract_z
Ta1 0.055 0.250 0.186
Cu1 0.421 0.750 0.242
S1 0.206 0.250 0.751
S2 0.229 0.750 0.051
S3 0.281 0.250 0.359
# Size of the total moment in μB per formula unit: 0.00
# ΔE_f (raw) in eV/atom: -0.7270
# Energy in eV/f.u.: -32.0

---

(11)
# TaCuS3 (PBE, relaxed)
data_TaCuS3
_chemical_formula_sum 'Ta1 Cu1 S3'
_cell_length_a 4.787
_cell_length_b 4.787
_cell_length_c 4.787
_cell_angle_alpha 90.00
_cell_angle_beta 90.00
_cell_angle_gamma 90.00
_space_group_name_H-M_alt 'P m -3 m'
_space_group_IT_number 221
_space_group_name_Hall '-P 4 2 3'
loop_
_atom_site_label
_atom_site_fract_x
_atom_site_fract_y
_atom_site_fract_z
Ta1 0.000 0.000 0.000
Cu1 0.500 0.500 0.500
S1 0.000 0.000 0.500
# Size of the total moment in μB per formula unit: 0.00
# ΔE_f (raw) in eV/atom: -0.0069
# Energy in eV/f.u.: -28.4

---

Q: Look up the ΔE_f (raw) of the sixth one.
A: -0.1164 eV/atom